This record from Alexandria describes a geometry-optimized MgMnGa2Rh structure. The functional is PBE.

Structure (CIF):
```
data_MgMnGa2Rh
_cell_length_a 4.7301
_cell_length_b 4.7301
_cell_length_c 4.8813
_cell_angle_alpha 90.00
_cell_angle_beta 90.00
_cell_angle_gamma 90.00
_space_group_name_H-M_alt 'P 4/m m m'
_space_group_IT_number 123
_space_group_name_Hall '-P 4 2'
loop_
_atom_site_label
_atom_site_type_symbol
_atom_site_fract_x
_atom_site_fract_y
_atom_site_fract_z
_atom_site_occupancy
Mg1 Mg 0.0000 0.0000 0.0000 1
Mn1 Mn 0.5000 0.5000 0.0000 1
Ga1 Ga 0.0000 0.5000 0.5000 1
Rh1 Rh 0.0000 0.0000 0.5000 1
```

Summary:
- calculated formation energy (meV per atom) = 178
- V (Å³/f.u.) = 109.2
- density of states at the Fermi level (states/eV per cell) = 3.0